1.
Computed, not measured: a geometry-optimized KYIr2 structure at the PBE-GGA level of DFT.

- DFT total energy: -6.168 eV/atom
- Formation enthalpy at 0 K: 0.153 eV/atom
- Calculated volume: 87 Å³/cell
- Total magnetization: 0.0 μB per cell

Geometry as POSCAR:
```
KYIr2
1.0
-1.168 -1.627 -2.419
2.800 0.100 -1.417
2.286 -7.562 3.984
Ir K Y
2 1 1
Direct
0.000 0.000 0.963
0.000 0.000 0.537
0.500 0.500 0.250
0.500 0.500 0.750
```

***

2.
Computed, not measured: a geometry-optimized Pu2Co3Si5 structure at the PBE-GGA level of DFT.

- DFT total energy: -8.319 eV/atom
- Formation energy from raw total energies: -0.61 eV per atom
- Calculated volume: 297 Å³/cell
- Total magnetization: 20.7 μB per cell

Geometry as POSCAR:
```
Pu2Co3Si5
1.0
5.118 0.054 1.924
2.903 7.419 0.195
0.071 -0.526 7.952
Pu Co Si
4 6 10
Direct
0.272 0.870 0.595
0.228 0.405 0.130
0.728 0.130 0.405
0.772 0.595 0.870
0.068 0.263 0.542
0.432 0.458 0.737
0.932 0.737 0.458
0.568 0.542 0.263
0.250 0.998 0.002
0.750 0.002 0.998
0.338 0.067 0.261
0.162 0.739 0.933
0.662 0.933 0.739
0.838 0.261 0.067
0.250 0.226 0.774
0.750 0.774 0.226
0.250 0.488 0.512
0.750 0.512 0.488
0.250 0.788 0.212
0.750 0.212 0.788
```

***

3.
Computed, not measured: a geometry-optimized YTi2AsAu structure at the PBE-GGA level of DFT.

- DFT total energy: -5.725 eV/atom
- Formation enthalpy at 0 K: 0.311 eV/atom
- Calculated volume: 131 Å³/cell
- Total magnetization: 1.5 μB per cell

Geometry as POSCAR:
```
YTi2AsAu
1.0
-3.715 -3.082 -0.747
0.690 -2.054 5.044
-3.111 3.320 1.777
Y As Au Ti
1 1 1 2
Direct
0.000 0.500 0.000
0.500 0.500 0.500
0.000 0.000 0.000
0.000 0.000 0.500
0.500 0.000 0.000
```